# 1
Hf2ZrHAu: optimized geometry, PBE.

Cell: 4.398 4.398 4.349 Å, 90.00 90.00 90.00°
Fractional positions:
1 Hf 0.000 0.500 0.000
2 Hf 0.500 0.000 0.000
3 Au 0.500 0.500 0.500
4 Zr 0.000 0.000 0.500
5 H 0.000 0.000 0.000

Values from the calculation:
- Excess energy over the best structure of this formula in the dataset: 0 meV per atom

=====

# 2
HfZr2HAu: optimized geometry, PBE.

Cell: 4.385 4.385 4.424 Å, 90.00 90.00 90.00°
Fractional positions:
1 Hf 0.000 0.000 0.500
2 Au 0.500 0.500 0.500
3 Zr 0.000 0.500 0.000
4 Zr 0.500 0.000 0.000
5 H 0.000 0.000 0.000

Values from the calculation:
- Calculated total energy: -35.34 eV/cell

=====

# 3
Hg2HAu: optimized geometry, PBE.

Cell: 6.510 6.510 5.784 Å, 55.76 55.76 90.00°
Fractional positions:
1 H 0.500 0.500 0.000
2 H 0.250 0.750 0.500
3 Au 0.000 0.000 0.000
4 Au 0.750 0.250 0.500
5 Hg 0.544 0.125 0.250
6 Hg 0.206 0.625 0.250
7 Hg 0.375 0.456 0.750
8 Hg 0.875 0.794 0.750

Values from the calculation:
- Excess energy over the best structure of this formula in the dataset: 236 meV per atom

=====

# 4
Hg3H4Au: optimized geometry, PBE.

Cell: 4.478 3.272 12.281 Å, 97.66 100.50 90.00°
Fractional positions:
1 Hg 0.791 0.791 0.582
2 Hg 0.209 0.209 0.418
3 Hg 0.000 0.500 0.000
4 H 0.624 0.739 0.247
5 H 0.376 0.261 0.753
6 H 0.376 0.491 0.753
7 H 0.624 0.509 0.247
8 Au 0.500 0.000 0.000

Values from the calculation:
- Calculated total energy: -16.94 eV/cell

=====

# 5
Hg4H2Au: optimized geometry, PBE.

Cell: 3.129 6.249 7.893 Å, 102.92 106.39 78.09°
Fractional positions:
1 Hg 0.348 0.632 0.191
2 Hg 0.652 0.368 0.809
3 Hg 0.377 0.810 0.687
4 Hg 0.623 0.190 0.313
5 H 0.188 0.233 0.460
6 H 0.812 0.767 0.540
7 Au 0.000 0.000 0.000

Values from the calculation:
- Calculated total energy: -9.21 eV/cell

=====

# 6
HgHAu2: optimized geometry, PBE.

Cell: 3.150 3.150 7.403 Å, 77.71 77.71 60.00°
Fractional positions:
1 H 0.000 0.000 0.000
2 Au 0.724 0.724 0.829
3 Au 0.276 0.276 0.171
4 Hg 0.500 0.500 0.500

Values from the calculation:
- Excess energy over the best structure of this formula in the dataset: 70 meV per atom

=====

For reference, total magnetization by record: 0.000, 0.000, 0.000, 0.000, 0.000, 0.000 μB per cell.
For reference, D(E_F) by record: 1.123, 1.121, 0.160, 0.021, 0.187, 0.260 states/eV/atom.